(1)
NaTbAgBr5: optimized geometry, GGA-PBE.

The structure in CIF format:
```
data_NaTbAgBr5
_cell_length_a 8.2573
_cell_length_b 13.6713
_cell_length_c 10.4477
_cell_angle_alpha 90.00
_cell_angle_beta 110.41
_cell_angle_gamma 90.00
_space_group_name_H-M_alt 'C 1 2/c 1'
_space_group_IT_number 15
_space_group_name_Hall '-C 2yc'
loop_
_atom_site_label
_atom_site_type_symbol
_atom_site_fract_x
_atom_site_fract_y
_atom_site_fract_z
Na1 Na 0.0000 0.0663 0.2500
Tb1 Tb 0.0000 0.5000 0.0000
Ag1 Ag 0.0000 0.2177 0.7500
Br1 Br 0.0000 0.4179 0.2500
Br2 Br 0.1719 0.0858 0.9541
Br3 Br 0.1751 0.3308 0.6306
```

Summary:
Spin magnetization (μB per atom): 0.00
N(E_F) (states/eV per cell): 0.000
Energy relative to the elements, uncorrected (meV/atom): -1387

(2)
YSiHg4: optimized geometry, GGA-PBE.

The structure in CIF format:
```
data_YSiHg4
_cell_length_a 8.3489
_cell_length_b 8.3489
_cell_length_c 8.3489
_cell_angle_alpha 90.00
_cell_angle_beta 90.00
_cell_angle_gamma 90.00
_space_group_name_H-M_alt 'F -4 3 m'
_space_group_IT_number 216
_space_group_name_Hall 'F -4 2 3'
loop_
_atom_site_label
_atom_site_type_symbol
_atom_site_fract_x
_atom_site_fract_y
_atom_site_fract_z
Y1 Y 0.0000 0.0000 0.0000
Si1 Si 0.2500 0.2500 0.2500
Hg1 Hg 0.1247 0.1247 0.6247
```

Summary:
Spin magnetization (μB per atom): 0.00
N(E_F) (states/eV per cell): 14.714
Energy relative to the elements, uncorrected (meV/atom): 190

(3)
KLiNF2: optimized geometry, GGA-PBE.

The structure in CIF format:
```
data_KLiNF2
_cell_length_a 4.9553
_cell_length_b 4.9553
_cell_length_c 4.9954
_cell_angle_alpha 90.00
_cell_angle_beta 90.00
_cell_angle_gamma 90.00
_space_group_name_H-M_alt 'P 4/m m m'
_space_group_IT_number 123
_space_group_name_Hall '-P 4 2'
loop_
_atom_site_label
_atom_site_type_symbol
_atom_site_fract_x
_atom_site_fract_y
_atom_site_fract_z
K1 K 0.0000 0.0000 0.0000
Li1 Li 0.5000 0.5000 0.5000
N1 N 0.0000 0.0000 0.5000
F1 F 0.0000 0.5000 0.0000
```

Summary:
Spin magnetization (μB per atom): 0.61
Distance to the lowest polymorph of the same formula (meV/atom): 633
Energy relative to the elements, uncorrected (meV/atom): -433

Q: Look up the spin magnetization of the second one.
A: 0.00 μB per atom